Here is a relaxed LaZr2Cl crystal from the Alexandria database. Energies are from PBE-GGA.

```
data_LaZr2Cl
_cell_length_a 3.257
_cell_length_b 5.007
_cell_length_c 6.422
_cell_angle_alpha 90.00
_cell_angle_beta 90.00
_cell_angle_gamma 90.00
_symmetry_space_group_name_H-M 'P m m m'
_symmetry_Int_Tables_number 47
loop_
_symmetry_equiv_pos_as_xyz
'x,y,z'
'-x,-y,-z'
'-x,-y,z'
'x,y,-z'
'x,-y,-z'
'-x,y,z'
'-x,y,-z'
'x,-y,z'
loop_
_atom_site_label
_atom_site_fract_x
_atom_site_fract_y
_atom_site_fract_z
La1 0.000 0.000 0.000
Zr1 0.000 0.500 0.500
Zr2 0.500 0.000 0.500
Cl1 0.500 0.500 0.000
```

Values from the calculation:
- uncorrected formation energy (eV per atom) = -0.19
- total moment (μB per cell) = 0.02
- relative energy among the computed polymorphs (meV/atom) = 193